# 1
Pr5Nd2Er12: relaxed, PBE-GGA.

Lattice parameters (Å, degrees): 6.690 12.346 12.210 138.43 110.57 79.03
Fractional coordinates of all 19 atoms:
Er (0.248, 0.645, 0.381)
Er (0.699, 0.661, 0.301)
Er (0.939, 0.261, 0.102)
Er (0.954, 0.115, 0.275)
Er (0.423, 0.985, 0.347)
Er (0.301, 0.339, 0.699)
Er (0.577, 0.015, 0.653)
Er (0.061, 0.739, 0.898)
Er (0.643, 0.730, 0.016)
Er (0.357, 0.270, 0.984)
Er (0.046, 0.885, 0.725)
Er (0.752, 0.355, 0.619)
Pr (0.718, 0.486, 0.434)
Pr (0.282, 0.514, 0.566)
Pr (0.799, 0.389, 0.930)
Pr (0.000, 0.000, 0.500)
Pr (0.201, 0.611, 0.070)
Nd (0.398, 0.113, 0.174)
Nd (0.602, 0.887, 0.826)

Space-group type: P-1 (2)
DOS(E_F) (states/eV per atom): 1.522
Energy of formation (eV/f.u.): 1.3
E above lowest polymorph (meV per atom): 0

=====

# 2
Pr6NdEr3: relaxed, PBE-GGA.

Lattice parameters (Å, degrees): 6.525 11.860 11.860 130.78 90.00 90.00
Fractional coordinates of all 20 atoms:
Nd (0.511, 0.846, 0.154)
Nd (0.011, 0.154, 0.846)
Pr (0.828, 0.892, 0.455)
Pr (0.328, 0.455, 0.892)
Pr (0.078, 0.381, 0.262)
Pr (0.782, 0.014, 0.986)
Pr (0.806, 0.299, 0.701)
Pr (0.578, 0.262, 0.381)
Pr (0.306, 0.701, 0.299)
Pr (0.328, 0.108, 0.545)
Pr (0.578, 0.619, 0.738)
Pr (0.282, 0.986, 0.014)
Pr (0.828, 0.545, 0.108)
Pr (0.078, 0.738, 0.619)
Er (0.488, 0.296, 0.041)
Er (0.488, 0.959, 0.704)
Er (0.988, 0.041, 0.296)
Er (0.598, 0.581, 0.419)
Er (0.988, 0.704, 0.959)
Er (0.098, 0.419, 0.581)

Space-group type: Cmc2_1 (36)
DOS(E_F) (states/eV per atom): 1.490
Energy of formation (eV/f.u.): 1.3
E above lowest polymorph (meV per atom): 0

=====

# 3
Pr3NdEr12: relaxed, PBE-GGA.

Lattice parameters (Å, degrees): 5.029 5.029 20.121 90.00 90.00 90.00
Fractional coordinates of all 16 atoms:
Er (0.000, 0.500, 0.125)
Er (0.500, 0.000, 0.875)
Er (0.000, 0.500, 0.375)
Er (0.500, 0.500, 0.250)
Er (0.000, 0.500, 0.875)
Er (0.500, 0.000, 0.625)
Er (0.500, 0.500, 0.000)
Er (0.500, 0.000, 0.375)
Er (0.500, 0.500, 0.500)
Er (0.500, 0.000, 0.125)
Er (0.500, 0.500, 0.750)
Er (0.000, 0.500, 0.625)
Nd (0.000, 0.000, 0.000)
Pr (0.000, 0.000, 0.500)
Pr (0.000, 0.000, 0.750)
Pr (0.000, 0.000, 0.250)

Space-group type: P4/mmm (123)
DOS(E_F) (states/eV per atom): 1.461
Energy of formation (eV/f.u.): 0.4

=====

# 4
Pr3NdEr6: relaxed, PBE-GGA.

Lattice parameters (Å, degrees): 6.300 10.996 10.996 119.47 90.00 90.00
Fractional coordinates of all 20 atoms:
Pr (0.964, 0.713, 0.936)
Pr (0.964, 0.064, 0.287)
Pr (0.464, 0.936, 0.713)
Pr (0.464, 0.287, 0.064)
Pr (0.067, 0.390, 0.610)
Pr (0.567, 0.610, 0.390)
Er (0.387, 0.959, 0.041)
Er (0.887, 0.041, 0.959)
Er (0.873, 0.956, 0.534)
Er (0.373, 0.044, 0.466)
Er (0.038, 0.713, 0.619)
Er (0.538, 0.287, 0.381)
Er (0.038, 0.381, 0.287)
Er (0.644, 0.276, 0.724)
Er (0.873, 0.466, 0.044)
Er (0.373, 0.534, 0.956)
Er (0.538, 0.619, 0.713)
Er (0.144, 0.724, 0.276)
Nd (0.136, 0.199, 0.801)
Nd (0.636, 0.801, 0.199)

Space-group type: Cmc2_1 (36)
DOS(E_F) (states/eV per atom): 1.435
Energy of formation (eV/f.u.): 1.5

=====

# 5
Pr8NdEr5: relaxed, PBE-GGA.

Lattice parameters (Å, degrees): 8.622 8.622 8.622 111.53 105.43 111.53
Fractional coordinates of all 14 atoms:
Pr (0.570, 0.911, 0.839)
Pr (0.728, 0.258, 0.332)
Pr (0.074, 0.742, 0.470)
Pr (0.530, 0.604, 0.272)
Pr (0.668, 0.396, 0.926)
Pr (0.161, 0.731, 0.073)
Pr (0.342, 0.269, 0.430)
Pr (0.927, 0.089, 0.658)
Er (0.037, 0.312, 0.129)
Er (0.275, 0.093, 0.963)
Er (0.871, 0.907, 0.182)
Er (0.500, 0.000, 0.500)
Er (0.818, 0.688, 0.725)
Nd (0.250, 0.500, 0.750)

Space-group type: I-4 (82)
DOS(E_F) (states/eV per atom): 1.476
Energy of formation (eV/f.u.): 3.3

=====

# 6
Pr6NdEr4: relaxed, PBE-GGA.

Lattice parameters (Å, degrees): 10.006 10.006 10.006 55.67 141.44 141.44
Fractional coordinates of all 11 atoms:
Nd (0.000, 0.000, 0.000)
Pr (0.643, 0.183, 0.183)
Pr (0.500, 0.500, 0.000)
Pr (0.357, 0.540, 0.540)
Pr (0.000, 0.460, 0.817)
Pr (0.000, 0.817, 0.460)
Pr (0.500, 0.000, 0.500)
Er (0.000, 0.642, 0.010)
Er (0.000, 0.010, 0.642)
Er (0.368, 0.358, 0.358)
Er (0.632, 0.990, 0.990)

Space-group type: I-42m (121)
DOS(E_F) (states/eV per atom): 1.533
Energy of formation (eV/f.u.): 3.2

=====

# 7
Pr3Nd4Er8: relaxed, PBE-GGA.

Lattice parameters (Å, degrees): 6.786 9.340 9.340 87.49 111.30 111.30
Fractional coordinates of all 15 atoms:
Nd (0.000, 0.500, 0.000)
Nd (0.000, 0.000, 0.000)
Nd (0.500, 0.000, 0.000)
Nd (0.000, 0.000, 0.500)
Er (0.470, 0.732, 0.732)
Er (0.993, 0.733, 0.733)
Er (0.500, 0.744, 0.256)
Er (0.530, 0.268, 0.268)
Er (0.000, 0.639, 0.361)
Er (0.000, 0.361, 0.639)
Er (0.500, 0.256, 0.744)
Er (0.007, 0.267, 0.267)
Pr (0.500, 0.500, 0.500)
Pr (0.500, 0.000, 0.500)
Pr (0.500, 0.500, 0.000)

Space-group type: C2/m (12)
DOS(E_F) (states/eV per atom): 2.041
Energy of formation (eV/f.u.): 5.4

=====

# 8
Pr4Nd10Er: relaxed, PBE-GGA.

Lattice parameters (Å, degrees): 10.647 8.877 8.877 68.92 53.15 53.15
Fractional coordinates of all 15 atoms:
Nd (0.544, 0.909, 0.678)
Nd (0.456, 0.091, 0.322)
Nd (0.250, 0.500, 0.500)
Nd (0.868, 0.909, 0.678)
Nd (0.223, 0.322, 0.909)
Nd (0.132, 0.091, 0.322)
Nd (0.454, 0.678, 0.091)
Nd (0.777, 0.678, 0.091)
Nd (0.750, 0.500, 0.500)
Nd (0.546, 0.322, 0.909)
Pr (0.943, 0.384, 0.731)
Pr (0.327, 0.731, 0.616)
Pr (0.057, 0.616, 0.269)
Pr (0.673, 0.269, 0.384)
Er (0.000, 0.000, 0.000)

Space-group type: I4/m (87)
DOS(E_F) (states/eV per atom): 1.354
Energy of formation (eV/f.u.): 4.6

=====

# 9
Pr8Nd3Er4: relaxed, PBE-GGA.

Lattice parameters (Å, degrees): 6.933 9.470 9.470 81.69 112.89 112.89
Fractional coordinates of all 15 atoms:
Nd (0.500, 0.000, 0.500)
Nd (0.500, 0.500, 0.000)
Nd (0.500, 0.500, 0.500)
Pr (0.238, 0.704, 0.704)
Pr (0.500, 0.754, 0.246)
Pr (0.000, 0.707, 0.293)
Pr (0.817, 0.757, 0.757)
Pr (0.500, 0.246, 0.754)
Pr (0.762, 0.296, 0.296)
Pr (0.000, 0.293, 0.707)
Pr (0.183, 0.243, 0.243)
Er (0.000, 0.000, 0.500)
Er (0.000, 0.500, 0.000)
Er (0.500, 0.000, 0.000)
Er (0.000, 0.000, 0.000)

Space-group type: C2/m (12)
DOS(E_F) (states/eV per atom): 1.528
Energy of formation (eV/f.u.): 4.8

=====

# 10
Pr2Nd3Er7: relaxed, PBE-GGA.

Lattice parameters (Å, degrees): 3.542 6.369 18.044 75.73 90.00 90.00
Fractional coordinates of all 12 atoms:
Er (0.000, 0.564, 0.163)
Er (0.000, 0.000, 0.000)
Er (0.500, 0.246, 0.499)
Er (0.500, 0.754, 0.501)
Er (0.000, 0.436, 0.837)
Er (0.500, 0.939, 0.836)
Er (0.500, 0.061, 0.164)
Nd (0.500, 0.500, 0.000)
Nd (0.000, 0.886, 0.659)
Nd (0.000, 0.114, 0.341)
Pr (0.500, 0.620, 0.326)
Pr (0.500, 0.380, 0.674)

Space-group type: P2/m (10)
DOS(E_F) (states/eV per atom): 1.465
Energy of formation (eV/f.u.): 1.1
E above lowest polymorph (meV per atom): 3

=====

# 11
Pr2Nd5Er5: relaxed, PBE-GGA.

Lattice parameters (Å, degrees): 5.094 8.086 10.851 72.83 76.42 71.64
Fractional coordinates of all 12 atoms:
Nd (0.834, 0.832, 0.499)
Nd (0.752, 0.250, 0.247)
Nd (0.000, 0.000, 0.000)
Nd (0.248, 0.750, 0.753)
Nd (0.166, 0.168, 0.501)
Er (0.667, 0.667, 0.999)
Er (0.333, 0.333, 0.001)
Er (0.583, 0.083, 0.751)
Er (0.500, 0.500, 0.500)
Er (0.417, 0.917, 0.249)
Pr (0.083, 0.586, 0.248)
Pr (0.917, 0.414, 0.752)

Space-group type: C2/m (12)
DOS(E_F) (states/eV per atom): 1.471
Energy of formation (eV/f.u.): 0.2

=====

# 12
Pr6Nd2Er5: relaxed, PBE-GGA.

Lattice parameters (Å, degrees): 3.661 11.876 20.639 90.00 90.00 90.00
Fractional coordinates of all 26 atoms:
Pr (0.000, 0.442, 0.578)
Pr (0.500, 0.677, 0.873)
Pr (0.000, 0.919, 0.635)
Pr (0.000, 0.558, 0.422)
Pr (0.000, 0.581, 0.135)
Pr (0.000, 0.942, 0.922)
Pr (0.000, 0.081, 0.365)
Pr (0.500, 0.323, 0.127)
Pr (0.000, 0.419, 0.865)
Pr (0.500, 0.177, 0.627)
Pr (0.500, 0.823, 0.373)
Pr (0.000, 0.058, 0.078)
Nd (0.000, 0.166, 0.785)
Nd (0.000, 0.666, 0.715)
Nd (0.000, 0.334, 0.285)
Nd (0.000, 0.834, 0.215)
Er (0.500, 0.700, 0.556)
Er (0.500, 0.300, 0.444)
Er (0.500, 0.594, 0.277)
Er (0.500, 0.800, 0.056)
Er (0.500, 0.094, 0.223)
Er (0.500, 0.200, 0.944)
Er (0.500, 0.906, 0.777)
Er (0.500, 0.500, 0.000)
Er (0.500, 0.000, 0.500)
Er (0.500, 0.406, 0.723)

Space-group type: Pbam (55)
DOS(E_F) (states/eV per atom): 1.212
Energy of formation (eV/f.u.): 1.3

=====

# 13
PrNd2Er: relaxed, PBE-GGA.

Lattice parameters (Å, degrees): 3.650 3.650 12.061 81.30 81.30 60.00
Fractional coordinates of all 4 atoms:
Er (0.000, 0.000, 0.000)
Nd (0.252, 0.252, 0.244)
Nd (0.748, 0.748, 0.756)
Pr (0.500, 0.500, 0.500)

Space-group type: R-3m (166)
DOS(E_F) (states/eV per atom): 1.272
Energy of formation (eV/f.u.): 0.1
E above lowest polymorph (meV per atom): 3

=====

# 14
PrNd3Er7: relaxed, PBE-GGA.

Lattice parameters (Å, degrees): 6.658 8.634 6.519 81.06 94.92 81.11
Fractional coordinates of all 11 atoms:
Nd (0.500, 0.000, 0.000)
Nd (0.936, 0.159, 0.797)
Nd (0.064, 0.841, 0.203)
Er (0.738, 0.586, 0.986)
Er (0.293, 0.143, 0.443)
Er (0.222, 0.783, 0.730)
Er (0.262, 0.414, 0.014)
Er (0.707, 0.857, 0.557)
Er (0.000, 0.500, 0.500)
Er (0.778, 0.217, 0.270)
Pr (0.500, 0.500, 0.500)

Space-group type: P-1 (2)
DOS(E_F) (states/eV per atom): 1.551
Energy of formation (eV/f.u.): 1.3
E above lowest polymorph (meV per atom): 0

=====

# 15
PrNd8Er3: relaxed, PBE-GGA.

Lattice parameters (Å, degrees): 6.348 9.710 10.439 70.58 95.80 49.16
Fractional coordinates of all 12 atoms:
Nd (0.375, 0.371, 0.501)
Nd (0.485, 0.374, 0.166)
Nd (0.761, 0.872, 0.833)
Nd (0.515, 0.623, 0.833)
Nd (0.983, 0.872, 0.166)
Nd (0.628, 0.622, 0.499)
Nd (0.236, 0.124, 0.166)
Nd (0.015, 0.121, 0.833)
Er (0.122, 0.126, 0.498)
Er (0.264, 0.373, 0.831)
Er (0.739, 0.620, 0.169)
Pr (0.876, 0.872, 0.501)

Space-group type: P1 (1)
DOS(E_F) (states/eV per atom): 1.352
Energy of formation (eV/f.u.): 0.1

=====

# 16
PrNd7Er4: relaxed, PBE-GGA.

Lattice parameters (Å, degrees): 7.313 9.681 9.008 81.16 90.00 40.91
Fractional coordinates of all 12 atoms:
Nd (0.777, 0.223, 0.335)
Nd (0.245, 0.500, 0.998)
Nd (0.500, 0.000, 0.000)
Nd (0.971, 0.281, 0.663)
Nd (0.223, 0.777, 0.665)
Nd (0.029, 0.719, 0.337)
Nd (0.755, 0.500, 0.002)
Er (0.718, 0.782, 0.664)
Er (0.282, 0.218, 0.336)
Er (0.533, 0.722, 0.334)
Er (0.467, 0.278, 0.666)
Pr (0.000, 0.000, 0.000)

Space-group type: P-1 (2)
DOS(E_F) (states/eV per atom): 1.418
Energy of formation (eV/f.u.): 0.1
E above lowest polymorph (meV per atom): 0

=====

# 17
PrNd6Er2: relaxed, PBE-GGA.

Lattice parameters (Å, degrees): 3.654 8.932 13.090 132.56 81.92 90.07
Fractional coordinates of all 9 atoms:
Nd (0.667, 0.666, 0.667)
Nd (0.221, 0.894, 0.559)
Nd (0.108, 0.446, 0.782)
Nd (0.779, 0.106, 0.441)
Nd (0.892, 0.554, 0.218)
Nd (0.333, 0.334, 0.333)
Pr (0.000, 0.000, 0.000)
Er (0.445, 0.776, 0.110)
Er (0.555, 0.224, 0.890)

Space-group type: P-1 (2)
DOS(E_F) (states/eV per atom): 1.530
Energy of formation (eV/f.u.): 0.2
E above lowest polymorph (meV per atom): 0

=====

# 18
Pr2NdEr: relaxed, PBE-GGA.

Lattice parameters (Å, degrees): 4.259 4.259 7.630 90.00 90.00 90.00
Fractional coordinates of all 4 atoms:
Pr (0.000, 0.000, 0.239)
Pr (0.000, 0.000, 0.761)
Er (0.500, 0.500, 0.000)
Nd (0.500, 0.500, 0.500)

Space-group type: P4/mmm (123)
DOS(E_F) (states/eV per atom): 2.020
Energy of formation (eV/f.u.): 0.4
E above lowest polymorph (meV per atom): 87

=====

# 19
Pr2Nd3Er6: relaxed, PBE-GGA.

Lattice parameters (Å, degrees): 6.171 6.178 11.702 84.94 79.84 60.04
Fractional coordinates of all 11 atoms:
Pr (0.833, 0.333, 0.500)
Pr (0.167, 0.667, 0.500)
Nd (0.336, 0.328, 0.000)
Nd (0.664, 0.672, 0.000)
Nd (0.000, 0.000, 0.000)
Er (0.584, 0.333, 0.250)
Er (0.251, 0.000, 0.250)
Er (0.749, 0.000, 0.750)
Er (0.416, 0.667, 0.750)
Er (0.917, 0.667, 0.250)
Er (0.083, 0.333, 0.750)

Space-group type: C2/m (12)
DOS(E_F) (states/eV per atom): 1.398
Energy of formation (eV/f.u.): 2.0
E above lowest polymorph (meV per atom): 0